VASP calculation (PBE-GGA) on a relaxed LaCeSmTc crystal.

Cell and atoms, written as extended XYZ:
```
8
Lattice="7.681 0.000 0.000 0.000 4.458 0.000 -2.565 0.000 6.937" Properties=species:S:1:pos:R:3 pbc="T T T"
La 0.000 0.000 0.000
La 3.841 2.229 0.000
Ce -1.300 2.229 4.712
Ce 2.540 0.000 4.712
Sm 1.271 2.229 2.538
Sm 5.112 0.000 2.538
Tc 0.000 0.000 4.393
Tc 3.840 2.229 4.393
```

The total energy is -25.6 eV per formula unit. Its space-group type is Cm. The calculated formation energy is 0.087 eV/atom. Its size of the total moment is 0.00 μB per formula unit.

***

VASP calculation (PBE-GGA) on a relaxed La2Ce3SmTe6 crystal.

Cell and atoms, written as extended XYZ:
```
12
Lattice="3.889 -6.747 0.000 3.889 6.747 0.000 -2.599 0.000 7.440" Properties=species:S:1:pos:R:3 pbc="T T T"
La 3.889 4.510 0.000
La 3.889 -4.510 0.000
Ce -1.300 0.000 3.720
Ce 2.589 2.286 3.720
Ce 2.589 -2.286 3.720
Sm 3.889 0.000 0.000
Te 0.018 2.215 5.573
Te 1.340 0.000 1.894
Te 0.018 -2.215 5.573
Te 5.161 2.215 1.867
Te 3.838 0.000 5.546
Te 5.161 -2.215 1.867
```

For the formation energy (no corrections), the calculation gives -1.447 eV/atom. The total energy is -68.6 eV per formula unit. Its space-group type is C2/m. Its size of the total moment is 3.44 μB per formula unit.

***

VASP calculation (PBE-GGA) on a relaxed La3Ce4SmTe8 crystal.

Cell and atoms, written as extended XYZ:
```
16
Lattice="4.503 2.600 7.444 -4.503 2.600 7.444 0.000 -5.200 7.444" Properties=species:S:1:pos:R:3 pbc="T T T"
La -2.252 -1.300 7.444
La -2.252 1.300 14.887
La 0.000 2.600 7.444
Ce -4.503 0.000 11.165
Ce -2.252 1.300 3.722
Ce 2.252 1.300 3.722
Ce 0.000 0.000 11.165
Sm 0.000 0.000 0.000
Te -2.281 -1.317 13.010
Te 0.000 0.000 5.543
Te 0.000 -2.634 9.321
Te -2.281 1.317 9.321
Te 2.281 -1.317 13.010
Te 0.000 2.634 13.010
Te 0.000 0.000 16.788
Te 2.281 1.317 9.321
```

For the formation energy (no corrections), the calculation gives -1.455 eV/atom. The total energy is -91.6 eV per formula unit. Its space-group type is R-3m. Its size of the total moment is 4.72 μB per formula unit.

***

VASP calculation (PBE-GGA) on a relaxed La3CeSm3Te8 crystal.

Cell and atoms, written as extended XYZ:
```
15
Lattice="7.781 -4.481 0.000 7.781 4.481 0.000 -5.204 0.000 7.395" Properties=species:S:1:pos:R:3 pbc="T T T"
La 0.000 0.000 0.000
La 3.891 2.241 0.000
La 3.891 -2.241 0.000
Ce -2.602 0.000 3.698
Sm 1.288 2.241 3.698
Sm 1.288 -2.241 3.698
Sm 5.179 0.000 3.698
Te 2.589 0.000 1.913
Te 0.070 0.000 5.536
Te 3.835 2.169 5.538
Te 6.523 2.169 1.857
Te 3.835 -2.169 5.538
Te 6.523 -2.169 1.857
Te 10.288 0.000 1.859
Te 7.769 0.000 5.482
```

For the formation energy (no corrections), the calculation gives -1.493 eV/atom. The total energy is -82.4 eV per formula unit. Its space-group type is C2/m. Its size of the total moment is 1.48 μB per formula unit.

***

VASP calculation (PBE-GGA) on a relaxed La3Ce2SmTe6 crystal.

Cell and atoms, written as extended XYZ:
```
12
Lattice="3.903 -6.775 0.000 3.903 6.775 0.000 -2.611 0.000 7.453" Properties=species:S:1:pos:R:3 pbc="T T T"
La 0.000 0.000 0.000
La 3.903 2.254 0.000
La 3.903 -2.254 0.000
Ce 2.598 4.521 3.727
Ce 2.598 -4.521 3.727
Sm 2.598 0.000 3.727
Te 1.306 2.249 1.914
Te 0.006 0.000 5.540
Te 1.306 -2.249 1.914
Te 3.890 2.249 5.539
Te 5.190 0.000 1.913
Te 3.890 -2.249 5.539
```

For the formation energy (no corrections), the calculation gives -1.485 eV/atom. The total energy is -68.0 eV per formula unit. Its space-group type is C2/m. Its size of the total moment is 2.24 μB per formula unit.

***

VASP calculation (PBE-GGA) on a relaxed La3Ce3SmTe8 crystal.

Cell and atoms, written as extended XYZ:
```
15
Lattice="4.505 2.601 7.450 -4.505 2.601 7.450 0.000 -5.202 7.450" Properties=species:S:1:pos:R:3 pbc="T T T"
La -2.252 -1.300 7.450
La -2.252 1.300 14.900
La 0.000 2.601 7.450
Ce -4.505 0.000 11.175
Ce -2.252 1.300 3.725
Ce 2.252 1.300 3.725
Sm 0.000 0.000 11.175
Te -2.274 -1.313 13.019
Te 0.000 0.000 5.551
Te 0.000 -2.626 9.331
Te -2.274 1.313 9.331
Te 2.274 -1.313 13.019
Te 0.000 2.626 13.019
Te 0.000 0.000 16.799
Te 2.274 1.313 9.331
```

For the formation energy (no corrections), the calculation gives -1.489 eV/atom. The total energy is -84.8 eV per formula unit. Its space-group type is R-3m. Its size of the total moment is 4.00 μB per formula unit.

***

VASP calculation (PBE-GGA) on a relaxed LaCeSmTl crystal.

Cell and atoms, written as extended XYZ:
```
16
Lattice="7.866 0.000 0.000 0.000 7.866 0.000 0.000 0.000 7.866" Properties=species:S:1:pos:R:3 pbc="T T T"
La 0.000 0.000 0.000
La 0.000 3.933 3.933
La 3.933 0.000 3.933
La 3.933 3.933 0.000
Ce 1.967 1.967 1.967
Ce 1.967 5.900 5.900
Ce 5.900 1.967 5.900
Ce 5.900 5.900 1.967
Sm 0.000 0.000 3.933
Sm 0.000 3.933 0.000
Sm 3.933 0.000 0.000
Sm 3.933 3.933 3.933
Tl 1.967 1.967 5.900
Tl 1.967 5.900 1.967
Tl 5.900 1.967 1.967
Tl 5.900 5.900 5.900
```

The total energy is -18.0 eV per formula unit. Its space-group type is F-43m. The calculated formation energy is -0.013 eV/atom. Its size of the total moment is 0.55 μB per formula unit.

***

VASP calculation (PBE-GGA) on a relaxed LaCe2SmTl4 crystal.

Cell and atoms, written as extended XYZ:
```
8
Lattice="2.768 1.598 9.051 -2.768 1.598 9.051 0.000 -3.197 9.051" Properties=species:S:1:pos:R:3 pbc="T T T"
La 0.000 0.000 0.000
Ce 0.000 0.000 6.779
Ce 0.000 0.000 20.373
Sm 0.000 0.000 13.576
Tl 0.000 0.000 3.431
Tl 0.000 0.000 10.222
Tl 0.000 0.000 16.930
Tl 0.000 0.000 23.721
```

The total energy is -33.3 eV per formula unit. Its space-group type is R-3m. The calculated formation energy is -0.293 eV/atom. Its size of the total moment is 2.19 μB per formula unit.

***

VASP calculation (PBE-GGA) on a relaxed La2CeSm6Tm3 crystal.

Cell and atoms, written as extended XYZ:
```
12
Lattice="3.123 -5.416 0.000 3.123 5.416 0.000 -2.093 0.000 11.753" Properties=species:S:1:pos:R:3 pbc="T T T"
La 3.123 3.614 0.000
La 3.123 -3.614 0.000
Ce 3.123 0.000 0.000
Sm 0.005 1.789 8.755
Sm 1.053 0.000 3.000
Sm 0.005 -1.789 8.755
Sm 4.149 1.789 2.997
Sm 3.101 0.000 8.753
Sm 4.149 -1.789 2.997
Tm -1.047 0.000 5.876
Tm 2.077 1.804 5.876
Tm 2.077 -1.804 5.876
```

The total energy is -57.0 eV per formula unit. Its space-group type is C2/m. The calculated formation energy is 0.046 eV/atom. Its size of the total moment is 1.13 μB per formula unit.

***

VASP calculation (PBE-GGA) on a relaxed LaCeSm6Tm2 crystal.

Cell and atoms, written as extended XYZ:
```
10
Lattice="5.695 -3.407 0.000 5.695 3.407 0.000 -2.193 0.000 8.725" Properties=species:S:1:pos:R:3 pbc="T T T"
La 0.000 0.000 0.000
Ce 4.598 0.000 4.362
Sm 2.262 1.783 6.062
Sm 3.980 0.000 0.713
Sm 6.935 1.783 2.663
Sm 2.262 -1.783 6.062
Sm 5.217 0.000 8.012
Sm 6.935 -1.783 2.663
Tm -0.404 0.000 5.767
Tm 9.601 0.000 2.958
```

The total energy is -45.7 eV per formula unit. Its space-group type is C2/m. The calculated formation energy is 0.238 eV/atom. Its size of the total moment is 1.62 μB per formula unit.

***

VASP calculation (PBE-GGA) on a relaxed La2CeSmY6 crystal.

Cell and atoms, written as extended XYZ:
```
10
Lattice="5.806 -3.374 0.000 5.806 3.374 0.000 -3.074 0.000 8.665" Properties=species:S:1:pos:R:3 pbc="T T T"
La 0.418 0.000 1.463
La 8.120 0.000 7.202
Ce 5.806 0.000 0.000
Sm -1.537 0.000 4.332
Y 3.114 1.724 1.697
Y 2.510 0.000 5.021
Y 5.424 1.724 6.968
Y 3.114 -1.724 1.697
Y 6.029 0.000 3.644
Y 5.424 -1.724 6.968
```

The total energy is -57.0 eV per formula unit. Its space-group type is C2/m. The calculated formation energy is 0.228 eV/atom. Its size of the total moment is 0.73 μB per formula unit.

***

VASP calculation (PBE-GGA) on a relaxed La2CeSm6Y3 crystal.

Cell and atoms, written as extended XYZ:
```
12
Lattice="3.143 -5.449 0.000 3.143 5.449 0.000 -2.106 0.000 11.835" Properties=species:S:1:pos:R:3 pbc="T T T"
La 3.143 3.636 0.000
La 3.143 -3.636 0.000
Ce 3.143 0.000 0.000
Sm 0.001 1.799 8.847
Sm 1.066 0.000 2.990
Sm 0.001 -1.799 8.847
Sm 4.179 1.799 2.988
Sm 3.114 0.000 8.845
Sm 4.179 -1.799 2.988
Y -1.053 0.000 5.918
Y 2.090 1.815 5.918
Y 2.090 -1.815 5.918
```

The total energy is -63.0 eV per formula unit. Its space-group type is C2/m. The calculated formation energy is 0.040 eV/atom. Its size of the total moment is 1.10 μB per formula unit.